Density functional theory data (PBE-GGA) for an optimized crystal structure of Cu2Rh.

Unit cell a=4.7677 b=4.7677 c=4.7677 alpha=60.00 beta=60.00 gamma=60.00
Sites, in units of the cell vectors:
Cu1 0.1250 0.1250 0.1250
Cu2 0.6250 0.1250 0.1250
Cu3 0.1250 0.1250 0.6250
Cu4 0.1250 0.6250 0.1250
Rh1 0.5000 0.5000 0.5000
Rh2 0.7500 0.7500 0.7500

Calculated values
- formation energy from the elements (eV per formula unit) = 0.3
- size of the total moment (μB per formula unit) = 0.7
- SG = No. 227
- N(E_F) (states/eV/f.u.) = 3.6
- density (g/cm3) = 9.97